DFT (GGA-PBE) results for YCu2B2 after structural relaxation.

Unit cell a=6.1658 b=6.1658 c=3.6778 alpha=90.00 beta=90.00 gamma=90.00
With the nearest neighbours (Å) after each atom.
Sites, in units of the cell vectors:
Y: 0.0000 0.0000 0.0000  4 B 2.58
Y: 0.5000 0.5000 0.0000  4 B 2.58
B: 0.4084 0.9084 0.0000  1 B 1.60
B: 0.9084 0.5916 0.0000  1 B 1.60
B: 0.5916 0.0916 0.0000  1 B 1.60
B: 0.0916 0.4084 0.0000  1 B 1.60
Cu: 0.1415 0.6415 0.5000  4 B 2.35, 1 Cu 2.47
Cu: 0.6415 0.8585 0.5000  4 B 2.35, 1 Cu 2.47
Cu: 0.8585 0.3585 0.5000  4 B 2.35, 1 Cu 2.47
Cu: 0.3585 0.1415 0.5000  4 B 2.35, 1 Cu 2.47

The calculated volume comes out at 13.982 A^3/atom. The calculated formation energy comes out at 451 meV/atom.

DFT (GGA-PBE) results for Tb3UGa12 after structural relaxation.

Unit cell a=4.2600 b=4.2600 c=17.2219 alpha=90.00 beta=90.00 gamma=90.00
With the nearest neighbours (Å) after each atom.
Sites, in units of the cell vectors:
Tb: 0.0000 0.0000 0.2496  12 Ga 3.01-3.04
Tb: 0.0000 0.0000 0.5000  12 Ga 3.01-3.03
Tb: 0.0000 0.0000 0.7504  12 Ga 3.01-3.04
U: 0.0000 0.0000 0.0000  12 Ga 3.01
Ga: 0.5000 0.5000 0.0000  8 Ga 3.01, 4 U 3.01
Ga: 0.5000 0.5000 0.2494  4 Tb 3.01, 8 Ga 3.03-3.04
Ga: 0.5000 0.5000 0.5000  4 Tb 3.01, 8 Ga 3.03
Ga: 0.5000 0.5000 0.7506  4 Tb 3.01, 8 Ga 3.03-3.04
Ga: 0.5000 0.0000 0.1236  2 U 3.01, 8 Ga 3.01-3.04, 2 Tb 3.04
Ga: 0.5000 0.0000 0.3746  8 Ga 3.01-3.03, 4 Tb 3.03
Ga: 0.5000 0.0000 0.6254  8 Ga 3.01-3.03, 4 Tb 3.03
Ga: 0.5000 0.0000 0.8764  2 U 3.01, 8 Ga 3.01-3.04, 2 Tb 3.04
Ga: 0.0000 0.5000 0.1236  8 Ga 3.01-3.04, 2 U 3.01, 2 Tb 3.04
Ga: 0.0000 0.5000 0.3746  8 Ga 3.01-3.03, 4 Tb 3.03
Ga: 0.0000 0.5000 0.6254  8 Ga 3.01-3.03, 4 Tb 3.03
Ga: 0.0000 0.5000 0.8764  8 Ga 3.01-3.04, 2 U 3.01, 2 Tb 3.04

The calculated volume comes out at 19.534 A^3/atom. The calculated formation energy comes out at -466 meV/atom.

DFT (GGA-PBE) results for Hf2HF after structural relaxation.

Unit cell a=4.2970 b=4.2970 c=4.2970 alpha=60.00 beta=60.00 gamma=60.00
With the nearest neighbours (Å) after each atom.
Sites, in units of the cell vectors:
H: 0.0000 0.0000 0.0000  8 Hf 2.63
Hf: 0.2500 0.2500 0.2500  4 F 2.63, 4 H 2.63
Hf: 0.7500 0.7500 0.7500  4 F 2.63, 4 H 2.63
F: 0.5000 0.5000 0.5000  8 Hf 2.63

The polymorph energy (0 for the lowest one) is 819 meV per atom. The calculated volume comes out at 14.026 A^3/atom.

Number 1: density 5.6 g/cm³. Number 2: density 8.2 g/cm³. Number 3: density 11.2 g/cm³.